Compound: NaLiTa2S4
Source: the Open Quantum Materials Database
Functional: PBE
Structure: relaxed

For the electronic total energy, the calculation gives -53.27 eV per formula unit.

The space group is P-3m1 (No. 164) and the conventional cell measures 3.3714, 3.3714 and 13.5856 Å, with angles of 90.00, 90.00 and 120.00 degrees. The inequivalent atoms are Na at (0.0000, 0.0000, 0.0000), Li at (0.0000, 0.0000, 0.5000), Ta at (0.0000, 0.0000, 0.2631), S at (0.3333, 0.6667, 0.6212) and S at (0.3333, 0.6667, 0.8523).